First-principles (PBE) data for an optimized crystal structure of LiLaN2, as listed in Alexandria via LeMat-Bulk.

POSCAR file:
```
LiLaN2
1.0
0.000 2.984 2.984
2.984 0.000 2.984
2.984 2.984 0.000
N Li La
2 1 1
direct
0.250 0.250 0.250 N
0.750 0.750 0.750 N
0.000 0.000 0.000 Li
0.500 0.500 0.500 La
```

The calculation puts the total energy at -6.070 eV per atom. The value obtained for the raw formation energy is -0.197 eV/atom. The value obtained for the size of the total moment is 2.00 Bohr magnetons per cell.